An optimized crystal structure of Rb2BaGe2S6. Source: the Alexandria database, functional GGA-PBE.

Unit cell a=7.437 b=7.290 c=9.132 alpha=111.94 beta=90.00 gamma=120.67
Atoms (fractional coordinates):
1 S 0.773 0.545 0.607
2 Rb 0.304 0.608 0.819
3 S 0.227 0.455 0.393
4 S 0.303 0.115 0.805
5 Rb 0.696 0.392 0.181
6 Ba 0.500 0.000 0.500
7 Ge 0.041 0.082 0.260
8 S 0.189 0.885 0.195
9 Ge 0.959 0.918 0.740
10 S 0.811 0.115 0.805
11 S 0.697 0.885 0.195

* mass density: 2.80 g cm⁻³
* magnetization: 0.0 μB per formula unit
* formation energy without anion corrections: -907.3 meV/atom